[1]
DFT (PBE) results for Li4ZnN2 after structural relaxation.

Structure (POSCAR):
```
Li4ZnN2
1.0
1.824 1.053 6.425
-1.824 1.053 6.425
0.000 -2.107 6.425
Li Zn N
4 1 2
Direct
0.082 0.082 0.082 Li
0.298 0.298 0.298 Li
0.702 0.702 0.702 Li
0.918 0.918 0.918 Li
0.500 0.500 0.500 Zn
0.404 0.404 0.404 N
0.596 0.596 0.596 N
```

## Properties
Electronic total energy (eV for the cell shown): -28.268
Calculated density (Mg/m³): 2.72


[2]
DFT (PBE) results for Li2ZnN2 after structural relaxation.

Structure (POSCAR):
```
Li2ZnN2
1.0
5.179 0.000 0.000
0.000 5.179 0.000
0.000 0.000 3.427
Li Zn N
4 2 4
Direct
0.161 0.339 0.000 Li
0.339 0.839 0.000 Li
0.661 0.161 0.000 Li
0.839 0.661 0.000 Li
0.000 0.000 0.500 Zn
0.500 0.500 0.500 Zn
0.099 0.599 0.500 N
0.401 0.099 0.500 N
0.599 0.901 0.500 N
0.901 0.401 0.500 N
```

## Properties
N(E_F) (states/eV per cell): 2.1
Electronic total energy (eV for the cell shown): -43.450
Calculated density (Mg/m³): 3.88


[3]
DFT (PBE) results for LiZnN2 after structural relaxation.

Structure (POSCAR):
```
LiZnN2
1.0
1.375 0.794 6.557
-1.375 0.794 6.557
0.000 -1.587 6.557
Li Zn N
1 1 2
Direct
0.000 0.000 0.000 Li
0.500 0.500 0.500 Zn
0.407 0.407 0.407 N
0.593 0.593 0.593 N
```

## Properties
N(E_F) (states/eV per cell): 2.1
Electronic total energy (eV for the cell shown): -15.482
Calculated density (Mg/m³): 3.88


[4]
DFT (PBE) results for LiZnN3 after structural relaxation.

Structure (POSCAR):
```
LiZnN3
1.0
3.575 0.000 0.000
0.000 3.575 0.000
0.000 0.000 3.575
Li Zn N
1 1 3
Direct
0.000 0.000 0.000 Li
0.500 0.500 0.500 Zn
0.000 0.000 0.500 N
0.000 0.500 0.000 N
0.500 0.000 0.000 N
```

## Properties
N(E_F) (states/eV per cell): 3.8
Electronic total energy (eV for the cell shown): -17.867
Calculated density (Mg/m³): 4.16


[5]
DFT (PBE) results for LiZnN2 after structural relaxation.

Structure (POSCAR):
```
LiZnN2
1.0
1.571 0.907 5.756
-1.571 0.907 5.756
0.000 -1.814 5.756
Li Zn N
1 1 2
Direct
0.000 0.000 0.000 Li
0.500 0.500 0.500 Zn
0.109 0.109 0.109 N
0.891 0.891 0.891 N
```

## Properties
N(E_F) (states/eV per cell): 1.7
Electronic total energy (eV for the cell shown): -16.031
Calculated density (Mg/m³): 3.39


[6]
DFT (PBE) results for Li2ZnN after structural relaxation.

Structure (POSCAR):
```
Li2ZnN
1.0
-2.197 2.197 6.105
2.197 -2.197 6.105
2.197 2.197 -6.105
Li Zn N
4 2 2
Direct
0.375 0.122 0.247 Li
0.872 0.625 0.747 Li
0.875 0.128 0.753 Li
0.878 0.125 0.253 Li
0.250 0.750 0.500 Zn
0.500 0.500 0.000 Zn
0.000 0.000 0.000 N
0.750 0.250 0.500 N
```

## Properties
N(E_F) (states/eV per cell): 3.6
Electronic total energy (eV for the cell shown): -23.763
Calculated density (Mg/m³): 2.63